Entry 1:
An optimized crystal structure of La3Pr3Dy. Source: Alexandria, functional PBE-GGA.

a = 9.022 Å, b = 9.022 Å, c = 9.022 Å
α = 59.49°, β = 59.49°, γ = 59.49°
Positions (direct):
La (0.060, 0.300, 0.809)
La (0.191, 0.940, 0.700)
La (0.300, 0.809, 0.060)
La (0.700, 0.191, 0.940)
La (0.809, 0.060, 0.300)
La (0.940, 0.700, 0.191)
Pr (0.067, 0.723, 0.566)
Pr (0.277, 0.434, 0.933)
Pr (0.434, 0.933, 0.277)
Pr (0.566, 0.067, 0.723)
Pr (0.723, 0.566, 0.067)
Pr (0.933, 0.277, 0.434)
Dy (0.348, 0.348, 0.348)
Dy (0.652, 0.652, 0.652)

Results
DFT total energy, eV/cell: -64.54
ρ, Mg/m³: 6.48
Total moment, μB per cell: 0.0
Formation energy from the elements, eV per formula unit: 1.451
Volume, Å³/f.u.: 257



Entry 2:
An optimized crystal structure of Mo2OsPt. Source: Alexandria, functional PBE-GGA.

a = 5.549 Å, b = 7.913 Å, c = 2.774 Å
α = 90.00°, β = 90.00°, γ = 90.00°
Positions (direct):
Mo (0.250, 0.250, 0.000)
Mo (0.250, 0.750, 0.000)
Mo (0.750, 0.250, 0.000)
Mo (0.750, 0.750, 0.000)
Os (0.000, 0.000, 0.500)
Os (0.500, 0.500, 0.500)
Pt (0.000, 0.500, 0.500)
Pt (0.500, 0.000, 0.500)

Results
DFT total energy, eV/cell: -78.95
ρ, Mg/m³: 15.74
Total moment, μB per cell: 0.0
Formation energy from the elements, eV per formula unit: -0.542
Volume, Å³/f.u.: 61



Entry 3:
An optimized crystal structure of ScRhCl. Source: Alexandria, functional PBE-GGA.

a = 4.007 Å, b = 4.700 Å, c = 12.515 Å
α = 90.00°, β = 90.00°, γ = 90.00°
Positions (direct):
Sc (0.000, 0.000, 0.000)
Sc (0.000, 0.500, 0.500)
Sc (0.500, 0.000, 0.500)
Sc (0.500, 0.500, 0.000)
Rh (0.000, 0.000, 0.631)
Rh (0.000, 0.500, 0.131)
Rh (0.500, 0.000, 0.131)
Rh (0.500, 0.500, 0.631)
Cl (0.000, 0.000, 0.360)
Cl (0.000, 0.500, 0.860)
Cl (0.500, 0.000, 0.860)
Cl (0.500, 0.500, 0.360)

Results
DFT total energy, eV/cell: -72.21
ρ, Mg/m³: 5.17
Total moment, μB per cell: 0.0
E_form (uncorrected), eV/atom: -0.8407
Volume, Å³/f.u.: 59



Entry 4:
An optimized crystal structure of Ti2FeSiH. Source: Alexandria, functional PBE-GGA.

a = 3.968 Å, b = 3.968 Å, c = 3.645 Å
α = 90.00°, β = 90.00°, γ = 90.00°
Positions (direct):
Ti (0.000, 0.500, 0.000)
Ti (0.500, 0.000, 0.000)
Fe (0.000, 0.000, 0.500)
Si (0.500, 0.500, 0.500)
H (0.000, 0.000, 0.000)

Results
DFT total energy, eV/cell: -35.34
ρ, Mg/m³: 5.23
Total moment, μB per cell: 1.3
Volume, Å³/f.u.: 57



Entry 5:
An optimized crystal structure of CaDy2Tm. Source: Alexandria, functional PBE-GGA.

a = 5.092 Å, b = 5.092 Å, c = 5.040 Å
α = 90.00°, β = 90.00°, γ = 90.00°
Positions (direct):
Ca (0.000, 0.000, 0.000)
Dy (0.000, 0.500, 0.500)
Dy (0.500, 0.000, 0.500)
Tm (0.500, 0.500, 0.000)

Results
DFT total energy, eV/cell: -15.10
ρ, Mg/m³: 6.79
Total moment, μB per cell: 0.0
Formation energy from the elements, eV per formula unit: 0.574
Volume, Å³/f.u.: 131



Entry 6:
An optimized crystal structure of TmPa2Rh3. Source: Alexandria, functional PBE-GGA.

a = 5.596 Å, b = 5.848 Å, c = 8.462 Å
α = 73.05°, β = 75.23°, γ = 77.18°
Positions (direct):
Tm (0.047, 0.209, 0.300)
Tm (0.953, 0.791, 0.700)
Pa (0.285, 0.766, 0.041)
Pa (0.375, 0.229, 0.626)
Pa (0.625, 0.771, 0.374)
Pa (0.715, 0.234, 0.959)
Rh (0.149, 0.679, 0.376)
Rh (0.208, 0.300, 0.940)
Rh (0.463, 0.710, 0.719)
Rh (0.537, 0.290, 0.281)
Rh (0.792, 0.700, 0.060)
Rh (0.851, 0.321, 0.624)

Results
DFT total energy, eV/cell: -101.25
ρ, Mg/m³: 12.34
Total moment, μB per cell: 0.0
Formation energy from the elements, eV per formula unit: -5.105
Volume, Å³/f.u.: 126



Entry 7:
An optimized crystal structure of Ti2CdB2. Source: Alexandria, functional PBE-GGA.

a = 6.189 Å, b = 6.189 Å, c = 3.225 Å
α = 90.00°, β = 90.00°, γ = 90.00°
Positions (direct):
Ti (0.174, 0.326, 0.000)
Ti (0.326, 0.826, 0.000)
Ti (0.674, 0.174, 0.000)
Ti (0.826, 0.674, 0.000)
Cd (0.000, 0.000, 0.500)
Cd (0.500, 0.500, 0.500)
B (0.097, 0.597, 0.500)
B (0.403, 0.097, 0.500)
B (0.597, 0.903, 0.500)
B (0.903, 0.403, 0.500)

Results
DFT total energy, eV/cell: -63.64
ρ, Mg/m³: 6.18
Total moment, μB per cell: 0.0
Formation energy from the elements, eV per formula unit: -1.762
Volume, Å³/f.u.: 62



Entry 8:
An optimized crystal structure of Pu2URh. Source: Alexandria, functional PBE-GGA.

a = 2.780 Å, b = 2.780 Å, c = 30.410 Å
α = 90.00°, β = 90.00°, γ = 120.00°
Positions (direct):
Pu (0.000, 0.000, 0.084)
Pu (0.000, 0.000, 0.916)
Pu (0.333, 0.667, 0.583)
Pu (0.333, 0.667, 0.751)
Pu (0.667, 0.333, 0.249)
Pu (0.667, 0.333, 0.417)
U (0.000, 0.000, 0.000)
U (0.333, 0.667, 0.667)
U (0.667, 0.333, 0.333)
Rh (0.000, 0.000, 0.500)
Rh (0.333, 0.667, 0.167)
Rh (0.667, 0.333, 0.833)

Results
DFT total energy, eV/cell: -137.76
ρ, Mg/m³: 20.29
Total moment, μB per cell: 0.0
Formation energy from the elements, eV per formula unit: 1.382
Volume, Å³/f.u.: 68



Entry 9:
An optimized crystal structure of NbCN. Source: Alexandria, functional PBE-GGA.

a = 4.795 Å, b = 4.047 Å, c = 7.009 Å
α = 90.00°, β = 90.00°, γ = 90.00°
Positions (direct):
Nb (0.244, 0.250, 0.095)
Nb (0.256, 0.750, 0.595)
Nb (0.744, 0.250, 0.405)
Nb (0.756, 0.750, 0.905)
C (0.211, 0.750, 0.905)
C (0.289, 0.250, 0.405)
C (0.711, 0.750, 0.595)
C (0.789, 0.250, 0.095)
N (0.132, 0.250, 0.573)
N (0.368, 0.750, 0.073)
N (0.632, 0.250, 0.927)
N (0.868, 0.750, 0.427)

Results
DFT total energy, eV/cell: -111.10
ρ, Mg/m³: 5.81
Total moment, μB per cell: 0.0
E_form (uncorrected), eV/atom: -0.0518
Volume, Å³/f.u.: 34



Entry 10:
An optimized crystal structure of TeIr3N. Source: Alexandria, functional PBE-GGA.

a = 4.229 Å, b = 4.229 Å, c = 4.229 Å
α = 90.00°, β = 90.00°, γ = 90.00°
Positions (direct):
Te (0.000, 0.000, 0.000)
Ir (0.000, 0.500, 0.500)
Ir (0.500, 0.000, 0.500)
Ir (0.500, 0.500, 0.000)
N (0.500, 0.500, 0.500)

Results
DFT total energy, eV/cell: -33.52
ρ, Mg/m³: 15.77
Total moment, μB per cell: 0.1
E_form (uncorrected), eV/atom: 0.9063
Volume, Å³/f.u.: 76



Entry 11:
An optimized crystal structure of Zn4MoAu. Source: Alexandria, functional PBE-GGA.

a = 5.028 Å, b = 5.028 Å, c = 5.028 Å
α = 60.00°, β = 60.00°, γ = 60.00°
Positions (direct):
Zn (0.124, 0.124, 0.124)
Zn (0.124, 0.124, 0.628)
Zn (0.124, 0.628, 0.124)
Zn (0.628, 0.124, 0.124)
Mo (0.750, 0.750, 0.750)
Au (0.500, 0.500, 0.500)

Results
DFT total energy, eV/cell: -17.90
ρ, Mg/m³: 10.24
Total moment, μB per cell: 0.0
Formation energy from the elements, eV per formula unit: 1.307
Volume, Å³/f.u.: 90



Entry 12:
An optimized crystal structure of Nd2Er5Tm. Source: Alexandria, functional PBE-GGA.

a = 5.027 Å, b = 5.027 Å, c = 20.008 Å
α = 90.00°, β = 90.00°, γ = 90.00°
Positions (direct):
Nd (0.000, 0.000, 0.250)
Nd (0.000, 0.000, 0.750)
Nd (0.500, 0.500, 0.250)
Nd (0.500, 0.500, 0.750)
Er (0.000, 0.000, 0.000)
Er (0.000, 0.500, 0.122)
Er (0.000, 0.500, 0.378)
Er (0.000, 0.500, 0.622)
Er (0.000, 0.500, 0.878)
Er (0.500, 0.000, 0.122)
Er (0.500, 0.000, 0.378)
Er (0.500, 0.000, 0.622)
Er (0.500, 0.000, 0.878)
Er (0.500, 0.500, 0.500)
Tm (0.000, 0.000, 0.500)
Tm (0.500, 0.500, 0.000)

Results
DFT total energy, eV/cell: -73.20
ρ, Mg/m³: 8.50
Total moment, μB per cell: 0.0
Formation energy from the elements, eV per formula unit: 0.219
Volume, Å³/f.u.: 253